Crystalline NaLiMg at its relaxed geometry, computed with GGA-PBE.

Summary:
Formation energy = 0.05 eV/atom
Total moment = 0.0 μB per cell
Total DFT energy (no corrections) = -1.556 eV per atom

abc: 3.501 3.501 12.469
angles: 90.00 90.00 90.00
Space group I4mm (No. 107)
Inequivalent atoms, fractional coordinates:
Na  0.000  0.000  0.000
Li  0.000  0.000  0.676
Mg  0.000  0.000  0.310